Here is an optimized crystal structure of BaAlAs2 from the Alexandria database. Energies are from PBE-GGA.

Lattice parameters (Å, degrees): 3.722 3.952 7.465 66.54 90.00 90.00
Fractional positions:
Al 0.500 0.750 0.750
Ba 0.500 0.250 0.250
As 0.000 0.509 0.571
As 0.000 0.991 0.929

Calculated values
Energy of formation in eV per atom: -0.356
Crystal system: monoclinic
E in eV per atom: -4.097
SG: P2/m

***

Here is an optimized crystal structure of Ti2ReMoH from the Alexandria database. Energies are from PBE-GGA.

Lattice parameters (Å, degrees): 4.366 4.366 3.404 90.00 90.00 90.00
Fractional positions:
Ti 0.500 0.000 0.000
Ti 0.000 0.500 0.000
H 0.000 0.000 0.000
Re 0.500 0.500 0.500
Mo 0.000 0.000 0.500

Calculated values
Crystal system: tetragonal
E in eV per atom: -8.672
SG: P4/mmm

***

Here is an optimized crystal structure of Li2CaPbCl8 from the Alexandria database. Energies are from PBE-GGA.

Lattice parameters (Å, degrees): 6.527 6.767 8.174 73.15 90.59 102.56
Fractional positions:
Cl 0.353 0.259 0.955
Cl 0.379 0.273 0.442
Cl 0.877 0.232 0.708
Cl 0.647 0.741 0.045
Cl 0.621 0.727 0.558
Cl 0.123 0.768 0.292
Cl 0.132 0.793 0.821
Cl 0.868 0.207 0.179
Ca 0.000 0.000 0.500
Li 0.541 0.352 0.681
Li 0.459 0.648 0.319
Pb 0.000 0.000 0.000

Calculated values
Crystal system: triclinic
E in eV per atom: -3.466
SG: P-1
Formation energy without anion corrections in kJ/mol of formula units: -1667